# 1
Material: Hf6MgZr
Method: DFT, PBE
State: optimized geometry

Properties
The value obtained for the total magnetization is 0.000 μB per atom. The calculation puts the final energy at -139.1 eV/cell. For the formation energy, the calculation gives 0.3 eV per formula unit.

a b c (Å): 5.0677 6.3892 11.0790
angles (deg): 90.00 90.00 90.00
With the nearest neighbours (Å) after each atom.
Space group Amm2 (No. 38)
One atom of each set of equivalent atoms:
Hf: 0.0000 0.0000 0.0000  10 Hf 3.12-3.25, 2 Mg 3.19
Hf: 0.0000 0.2445 0.7533  8 Hf 3.11-3.26, 2 Zr 3.15, 2 Mg 3.19-3.21
Hf: 0.5000 0.0000 0.8357  10 Hf 3.11-3.20, 2 Zr 3.19
Hf: 0.5000 0.2497 0.0861  2 Mg 3.14, 8 Hf 3.14-3.20, 2 Zr 3.19-3.21
Mg: 0.0000 0.0000 0.5027  10 Hf 3.14-3.21, 2 Zr 3.14
Zr: 0.5000 0.0000 0.3352  2 Mg 3.14, 10 Hf 3.15-3.21

---

# 2
Material: Dy6GeP3S2
Method: DFT, PBE
State: optimized geometry

Properties
The formation energy without anion corrections comes out at -1668 meV per atom. The value obtained for the total magnetization is 0.000 μB per atom. The calculation puts the final energy at -153.5 eV/cell.

a b c (Å): 17.4499 3.9918 8.0324
angles (deg): 90.00 103.24 90.00
With the nearest neighbours (Å) after each atom.
Space group C2/m (No. 12)
One atom of each set of equivalent atoms:
Dy: 0.0005 0.0000 0.2457  3 P 2.81-2.85, 2 Ge 2.86, 1 S 2.88
Dy: 0.1647 0.5000 0.0887  3 P 2.78-2.80, 3 S 2.83-2.85
Dy: 0.1679 0.5000 0.5792  3 P 2.79-2.82, 1 Ge 2.85, 2 S 2.88
Ge: 0.0000 0.5000 0.5000  6 Dy 2.85-2.86
P: 0.0000 0.5000 0.0000  6 Dy 2.80-2.81
P: 0.1680 0.0000 0.3318  6 Dy 2.78-2.85
S: 0.1689 0.0000 0.8380  6 Dy 2.83-2.88

---

# 3
Material: CaRhCl
Method: DFT, PBE
State: optimized geometry

Properties
The formation energy without anion corrections comes out at -1170 meV per atom. The value obtained for the total magnetization is 0.000 μB per atom. The calculation puts the final energy at -29.4 eV/cell. The energy above the most stable polymorph in this dataset comes out at 0.006 eV/atom.

a b c (Å): 3.6456 3.6459 10.1410
angles (deg): 90.00 90.05 90.00
With the nearest neighbours (Å) after each atom.
Space group P2_1 (No. 4)
One atom of each set of equivalent atoms:
Ca: 0.2497 0.0000 0.2391  4 Cl 2.85, 4 Rh 3.03-3.04
Rh: 0.2494 0.5015 0.0000  4 Rh 2.57-2.58
Cl: 0.2497 0.9996 0.6417  4 Ca 2.85

---

# 4
Material: AcLa8Pm2
Method: DFT, PBE
State: optimized geometry

Properties
The value obtained for the total magnetization is 0.000 μB per atom. The calculation puts the final energy at -51.4 eV/cell. For the formation energy, the calculation gives 1.6 eV per formula unit. The energy above the most stable polymorph in this dataset comes out at 0.050 eV/atom.

a b c (Å): 5.1170 5.1170 16.4110
angles (deg): 90.00 90.00 90.00
With the nearest neighbours (Å) after each atom.
Space group P4/mmm (No. 123)
One atom of each set of equivalent atoms:
Ac: 0.0000 0.0000 0.0000  8 La 3.85
La: 0.0000 0.5000 0.1754  6 La 3.62-3.64, 2 Pm 3.63, 2 Ac 3.85
La: 0.0000 0.5000 0.5000  8 La 3.62-3.75, 4 Pm 3.75
La: 0.5000 0.5000 0.3331  4 Pm 3.62, 8 La 3.64-3.75
Pm: 0.0000 0.0000 0.3327  12 La 3.62-3.75

---

# 5
Material: CaAg2Au
Method: DFT, PBE
State: optimized geometry

Properties
The value obtained for the total magnetization is 0.000 μB per atom. The calculation puts the final energy at -24.8 eV/cell. For the formation energy, the calculation gives -1.4 eV per formula unit.

a b c (Å): 4.6687 4.6687 7.6669
angles (deg): 90.00 90.00 90.00
With the nearest neighbours (Å) after each atom.
Space group I-4m2 (No. 119)
One atom of each set of equivalent atoms:
Ca: 0.0000 0.0000 0.0000  4 Au 3.02, 8 Ag 3.02-3.30
Ag: 0.0000 0.0000 0.5000  4 Ag 3.02, 4 Au 3.02, 4 Ca 3.30
Ag: 0.0000 0.5000 0.7500  4 Ca 3.02, 4 Ag 3.02, 4 Au 3.30
Au: 0.0000 0.5000 0.2500  4 Ca 3.02, 8 Ag 3.02-3.30

---

# 6
Material: LaTiAs2P
Method: DFT, PBE
State: optimized geometry

Properties
The value obtained for the total magnetization is 0.120 μB per atom. The calculation puts the final energy at -22.6 eV/cell. For the formation energy, the calculation gives 4.9 eV per formula unit.

a b c (Å): 5.5034 5.5034 5.3026
angles (deg): 90.00 90.00 90.00
With the nearest neighbours (Å) after each atom.
Space group P4/mmm (No. 123)
One atom of each set of equivalent atoms:
La: 0.0000 0.0000 0.0000  2 P 2.65, 4 As 2.75
Ti: 0.5000 0.5000 0.5000  8 As 3.82, 4 P 3.89
As: 0.0000 0.5000 0.0000  2 La 2.75
P: 0.0000 0.0000 0.5000  2 La 2.65

---

# 7
Material: MgWBr2
Method: DFT, PBE
State: optimized geometry

Properties
The formation energy without anion corrections comes out at 812 meV per atom. The value obtained for the total magnetization is 0.003 μB per atom. The calculation puts the final energy at -14.6 eV/cell. The energy above the most stable polymorph in this dataset comes out at 0.855 eV/atom.

a b c (Å): 4.9026 4.9026 3.1454
angles (deg): 90.00 90.00 90.00
With the nearest neighbours (Å) after each atom.
Space group P4/mmm (No. 123)
One atom of each set of equivalent atoms:
Mg: 0.0000 0.0000 0.0000  8 Br 2.91, 2 Mg 3.15
W: 0.5000 0.5000 0.0000  8 Br 2.91, 2 W 3.15
Br: 0.0000 0.5000 0.5000  4 W 2.91, 4 Mg 2.91, 2 Br 3.15

---

# 8
Material: InHRh3
Method: DFT, PBE
State: optimized geometry

Properties
The value obtained for the total magnetization is 0.000 μB per atom. The calculation puts the final energy at -114.0 eV/cell. The energy above the most stable polymorph in this dataset comes out at 0.134 eV/atom.

a b c (Å): 7.2036 4.8851 9.8279
angles (deg): 90.00 130.35 90.00
With the nearest neighbours (Å) after each atom.
Space group P2_1/c (No. 14)
One atom of each set of equivalent atoms:
In: 0.1933 0.2078 0.0449  1 H 2.59, 8 Rh 2.71-2.83
H: 0.2826 0.5887 0.3741  4 Rh 1.83-1.97
Rh: 0.0625 0.6542 0.8362  1 H 1.86
Rh: 0.3102 0.7202 0.2135  1 H 1.83
Rh: 0.4380 0.2318 0.4147  2 H 1.93-1.97

---

# 9
Material: Ca2AlIn
Method: DFT, PBE
State: optimized geometry

Properties
The value obtained for the total magnetization is 0.000 μB per atom. The calculation puts the final energy at -41.0 eV/cell. For the formation energy, the calculation gives 0.2 eV per formula unit. The energy above the most stable polymorph in this dataset comes out at 0.385 eV/atom.

a b c (Å): 8.4977 8.4977 6.8130
angles (deg): 90.00 90.00 90.00
With the nearest neighbours (Å) after each atom.
Space group I-42d (No. 122)
One atom of each set of equivalent atoms:
Ca: 0.2408 0.2500 0.1250  2 Al 3.07, 2 In 3.18, 2 Ca 3.41
Al: 0.0000 0.0000 0.0000  4 Ca 3.07, 2 In 3.41
In: 0.0000 0.0000 0.5000  4 Ca 3.18, 2 Al 3.41